## AlIrNO (GGA-PBE)

Data for an optimized crystal structure of AlIrNO.

```
data_AlIrNO
_chemical_formula_sum 'Al4 Ir4 N4 O4'
_cell_length_a 5.3245
_cell_length_b 7.5061
_cell_length_c 4.8172
_cell_angle_alpha 90.00
_cell_angle_beta 90.00
_cell_angle_gamma 90.00
_symmetry_space_group_name_H-M 'P c a 21'
_symmetry_Int_Tables_number 29
loop_
_symmetry_equiv_pos_as_xyz
'x,y,z'
'-x,-y,z+1/2'
'-x+1/2,y,z+1/2'
'x+1/2,-y,z'
loop_
_atom_site_label
_atom_site_type_symbol
_atom_site_fract_x
_atom_site_fract_y
_atom_site_fract_z
_atom_site_occupancy
Al1 Al 0.0658 0.1141 0.0000 1
Ir1 Ir 0.1087 0.5296 0.9151 1
N1 N 0.0993 0.6786 0.5622 1
O1 O 0.1334 0.0582 0.6482 1
```

spin magnetization = 0.00 μB per cell
E above lowest polymorph = 0 meV per atom

---

## RbAlCo (GGA-PBE)

Data for an optimized crystal structure of RbAlCo.

```
data_RbAlCo
_chemical_formula_sum 'Rb4 Al4 Co4'
_cell_length_a 6.9997
_cell_length_b 6.9997
_cell_length_c 6.9997
_cell_angle_alpha 90.00
_cell_angle_beta 90.00
_cell_angle_gamma 90.00
_symmetry_space_group_name_H-M 'F -4 3 m'
_symmetry_Int_Tables_number 216
_symmetry_space_group_name_Hall 'F -4 2 3'
loop_
_atom_site_label
_atom_site_type_symbol
_atom_site_fract_x
_atom_site_fract_y
_atom_site_fract_z
_atom_site_occupancy
Rb1 Rb 0.0000 0.0000 0.0000 1
Al1 Al 0.2500 0.2500 0.7500 1
Co1 Co 0.0000 0.0000 0.5000 1
```

spin magnetization = 4.00 μB per cell
E above lowest polymorph = 200 meV per atom

---

## CsNaPdW (GGA-PBE)

Data for an optimized crystal structure of CsNaPdW.

```
data_CsNaPdW
_chemical_formula_sum 'Cs4 Na4 Pd4 W4'
_cell_length_a 7.5531
_cell_length_b 7.5531
_cell_length_c 7.5531
_cell_angle_alpha 90.00
_cell_angle_beta 90.00
_cell_angle_gamma 90.00
_symmetry_space_group_name_H-M 'F -4 3 m'
_symmetry_Int_Tables_number 216
_symmetry_space_group_name_Hall 'F -4 2 3'
loop_
_atom_site_label
_atom_site_type_symbol
_atom_site_fract_x
_atom_site_fract_y
_atom_site_fract_z
_atom_site_occupancy
Cs1 Cs 0.0000 0.0000 0.0000 1
Na1 Na 0.0000 0.0000 0.5000 1
Pd1 Pd 0.2500 0.2500 0.7500 1
W1 W 0.2500 0.2500 0.2500 1
```

spin magnetization = 16.78 μB per cell
E above lowest polymorph = 233 meV per atom

---

## LiCuGeSe2S (GGA-PBE)

Data for an optimized crystal structure of LiCuGeSe2S.

```
data_LiCuGeSe2S
_chemical_formula_sum 'Li4 Cu4 Ge4 Se8 S4'
_cell_length_a 3.7409
_cell_length_b 11.9362
_cell_length_c 10.1656
_cell_angle_alpha 90.00
_cell_angle_beta 90.00
_cell_angle_gamma 90.00
_symmetry_space_group_name_H-M 'C m c m'
_symmetry_Int_Tables_number 63
_symmetry_space_group_name_Hall '-C 2c 2'
loop_
_atom_site_label
_atom_site_type_symbol
_atom_site_fract_x
_atom_site_fract_y
_atom_site_fract_z
_atom_site_occupancy
Li1 Li 0.0000 0.1962 0.2500 1
Cu1 Cu 0.0000 0.0688 0.7500 1
Ge1 Ge 0.0000 0.5000 0.0000 1
Se1 Se 0.0000 0.1510 0.5357 1
S1 S 0.0000 0.4489 0.7500 1
```

energy = -3.91 eV/atom

---

## Ho2Sc2Br2NCl3 (GGA-PBE)

Data for an optimized crystal structure of Ho2Sc2Br2NCl3.

```
data_Ho2Sc2Br2NCl3
_chemical_formula_sum 'Ho4 Sc4 Br4 N2 Cl6'
_cell_length_a 16.9264
_cell_length_b 3.5790
_cell_length_c 7.6812
_cell_angle_alpha 90.00
_cell_angle_beta 102.49
_cell_angle_gamma 90.00
_symmetry_space_group_name_H-M 'C 1 2/m 1'
_symmetry_Int_Tables_number 12
loop_
_symmetry_equiv_pos_as_xyz
'x,y,z'
'-x,-y,-z'
'-x,y,-z'
'x,-y,z'
'x+1/2,y+1/2,z'
'-x+1/2,-y+1/2,-z'
'-x+1/2,y+1/2,-z'
'x+1/2,-y+1/2,z'
loop_
_atom_site_label
_atom_site_type_symbol
_atom_site_fract_x
_atom_site_fract_y
_atom_site_fract_z
_atom_site_occupancy
Ho1 Ho 0.0021 0.0000 0.2936 1
Sc1 Sc 0.1322 0.5000 0.5653 1
Br1 Br 0.1679 0.0000 0.8351 1
N1 N 0.0000 0.5000 0.5000 1
Cl1 Cl 0.0000 0.5000 0.0000 1
Cl2 Cl 0.1676 0.0000 0.3470 1
```

spin magnetization = 0.00 μB per cell
energy = -5.64 eV/atom

---

## Sr3Zn2As4Au2 (GGA-PBE)

Data for an optimized crystal structure of Sr3Zn2As4Au2.

```
data_Sr3Zn2As4Au2
_chemical_formula_sum 'Sr3 Zn2 As4 Au2'
_cell_length_a 4.4441
_cell_length_b 4.4441
_cell_length_c 15.7940
_cell_angle_alpha 90.00
_cell_angle_beta 90.00
_cell_angle_gamma 120.00
_symmetry_space_group_name_H-M 'P -3 m 1'
_symmetry_Int_Tables_number 164
_symmetry_space_group_name_Hall '-P 3 2"'
loop_
_atom_site_label
_atom_site_type_symbol
_atom_site_fract_x
_atom_site_fract_y
_atom_site_fract_z
_atom_site_occupancy
Sr1 Sr 0.0000 0.0000 0.0000 1
Sr2 Sr 0.0000 0.0000 0.2759 1
Zn1 Zn 0.3333 0.6667 0.5599 1
As1 As 0.3333 0.6667 0.3963 1
As2 As 0.3333 0.6667 0.8630 1
Au1 Au 0.3333 0.6667 0.1385 1
```

energy = -3.78 eV/atom

---

## Ta4CoB3 (GGA-PBE)

Data for an optimized crystal structure of Ta4CoB3.

```
data_Ta4CoB3
_chemical_formula_sum 'Ta8 Co2 B6'
_cell_length_a 3.2270
_cell_length_b 3.2270
_cell_length_c 23.0728
_cell_angle_alpha 90.00
_cell_angle_beta 90.00
_cell_angle_gamma 120.00
_symmetry_space_group_name_H-M 'P 63/m m c'
_symmetry_Int_Tables_number 194
_symmetry_space_group_name_Hall '-P 6c 2c'
loop_
_atom_site_label
_atom_site_type_symbol
_atom_site_fract_x
_atom_site_fract_y
_atom_site_fract_z
_atom_site_occupancy
Ta1 Ta 0.0000 0.0000 0.1721 1
Ta2 Ta 0.3333 0.6667 0.0571 1
Co1 Co 0.3333 0.6667 0.2500 1
B1 B 0.0000 0.0000 0.0000 1
B2 B 0.3333 0.6667 0.6168 1
```

spin magnetization = 0.85 μB per cell
energy = -9.75 eV/atom

---

## DyY2Sc3As2Os (GGA-PBE)

Data for an optimized crystal structure of DyY2Sc3As2Os.

```
data_DyY2Sc3As2Os
_chemical_formula_sum 'Dy2 Y4 Sc6 As4 Os2'
_cell_length_a 4.0942
_cell_length_b 13.0954
_cell_length_c 7.5376
_cell_angle_alpha 90.00
_cell_angle_beta 90.00
_cell_angle_gamma 90.00
_symmetry_space_group_name_H-M 'A m m 2'
_symmetry_Int_Tables_number 38
loop_
_symmetry_equiv_pos_as_xyz
'x,y,z'
'-x,-y,z'
'-x,y,z'
'x,-y,z'
'x,y+1/2,z+1/2'
'-x,-y+1/2,z+1/2'
'-x,y+1/2,z+1/2'
'x,-y+1/2,z+1/2'
loop_
_atom_site_label
_atom_site_type_symbol
_atom_site_fract_x
_atom_site_fract_y
_atom_site_fract_z
_atom_site_occupancy
Dy1 Dy 0.0000 0.0000 0.0000 1
Y1 Y 0.0000 0.2042 0.3885 1
Sc1 Sc 0.5000 0.0000 0.3569 1
Sc2 Sc 0.5000 0.1175 0.7104 1
As1 As 0.5000 0.1667 0.0926 1
Os1 Os 0.0000 0.0000 0.5936 1
```

spin magnetization = 0.06 μB per cell
energy = -7.20 eV/atom

---

## ZrAl2Ag2 (GGA-PBE)

Data for an optimized crystal structure of ZrAl2Ag2.

```
data_ZrAl2Ag2
_chemical_formula_sum 'Zr2 Al4 Ag4'
_cell_length_a 3.9842
_cell_length_b 3.9842
_cell_length_c 11.4892
_cell_angle_alpha 90.00
_cell_angle_beta 90.00
_cell_angle_gamma 90.00
_symmetry_space_group_name_H-M 'I 4/m m m'
_symmetry_Int_Tables_number 139
_symmetry_space_group_name_Hall '-I 4 2'
loop_
_atom_site_label
_atom_site_type_symbol
_atom_site_fract_x
_atom_site_fract_y
_atom_site_fract_z
_atom_site_occupancy
Zr1 Zr 0.0000 0.0000 0.0000 1
Al1 Al 0.0000 0.0000 0.3954 1
Ag1 Ag 0.0000 0.5000 0.2500 1
```

spin magnetization = 0.00 μB per cell
energy = -4.50 eV/atom

---

## La2GdPb7 (GGA-PBE)

Data for an optimized crystal structure of La2GdPb7.

```
data_La2GdPb7
_chemical_formula_sum 'La4 Gd2 Pb14'
_cell_length_a 4.7688
_cell_length_b 26.2327
_cell_length_c 4.8288
_cell_angle_alpha 90.00
_cell_angle_beta 90.00
_cell_angle_gamma 90.00
_symmetry_space_group_name_H-M 'C m m m'
_symmetry_Int_Tables_number 65
_symmetry_space_group_name_Hall '-C 2 2'
loop_
_atom_site_label
_atom_site_type_symbol
_atom_site_fract_x
_atom_site_fract_y
_atom_site_fract_z
_atom_site_occupancy
La1 La 0.0000 0.1871 0.0000 1
Gd1 Gd 0.0000 0.0000 0.0000 1
Pb1 Pb 0.0000 0.0953 0.5000 1
Pb2 Pb 0.0000 0.2929 0.5000 1
Pb3 Pb 0.0000 0.4058 0.0000 1
Pb4 Pb 0.0000 0.5000 0.5000 1
```

spin magnetization = 0.00 μB per cell
energy = -4.50 eV/atom

---

## Sm3Gd3CoTe2 (GGA-PBE)

Data for an optimized crystal structure of Sm3Gd3CoTe2.

```
data_Sm3Gd3CoTe2
_chemical_formula_sum 'Sm3 Gd3 Co1 Te2'
_cell_length_a 8.4833
_cell_length_b 8.4833
_cell_length_c 3.9574
_cell_angle_alpha 90.00
_cell_angle_beta 90.00
_cell_angle_gamma 120.00
_symmetry_space_group_name_H-M 'P -6 2 m'
_symmetry_Int_Tables_number 189
_symmetry_space_group_name_Hall 'P -6 -2'
loop_
_atom_site_label
_atom_site_type_symbol
_atom_site_fract_x
_atom_site_fract_y
_atom_site_fract_z
_atom_site_occupancy
Sm1 Sm 0.0000 0.5951 0.0000 1
Gd1 Gd 0.0000 0.2352 0.5000 1
Co1 Co 0.0000 0.0000 0.0000 1
Te1 Te 0.3333 0.6667 0.5000 1
```

spin magnetization = 0.02 μB per cell
E above lowest polymorph = 0 meV per atom

---

## LaInPt (GGA-PBE)

Data for an optimized crystal structure of LaInPt.

```
data_LaInPt
_chemical_formula_sum 'La3 In3 Pt3'
_cell_length_a 8.4847
_cell_length_b 8.4847
_cell_length_c 3.4053
_cell_angle_alpha 90.00
_cell_angle_beta 90.00
_cell_angle_gamma 120.00
_symmetry_space_group_name_H-M 'P -6 2 m'
_symmetry_Int_Tables_number 189
_symmetry_space_group_name_Hall 'P -6 -2'
loop_
_atom_site_label
_atom_site_type_symbol
_atom_site_fract_x
_atom_site_fract_y
_atom_site_fract_z
_atom_site_occupancy
La1 La 0.0000 0.3025 0.0000 1
In1 In 0.0000 0.0000 0.5000 1
In2 In 0.3333 0.6667 0.0000 1
Pt1 Pt 0.0000 0.6454 0.5000 1
```

spin magnetization = 0.02 μB per cell
energy = -4.94 eV/atom

---

## Y3HoC2Se2 (GGA-PBE)

Data for an optimized crystal structure of Y3HoC2Se2.

```
data_Y3HoC2Se2
_chemical_formula_sum 'Y3 Ho1 C2 Se2'
_cell_length_a 3.7585
_cell_length_b 3.7585
_cell_length_c 13.2818
_cell_angle_alpha 90.00
_cell_angle_beta 90.00
_cell_angle_gamma 120.00
_symmetry_space_group_name_H-M 'P 3 m 1'
_symmetry_Int_Tables_number 156
loop_
_symmetry_equiv_pos_as_xyz
'x,y,z'
'-y,x-y,z'
'-x+y,-x,z'
'-y,-x,z'
'-x+y,y,z'
'x,x-y,z'
loop_
_atom_site_label
_atom_site_type_symbol
_atom_site_fract_x
_atom_site_fract_y
_atom_site_fract_z
_atom_site_occupancy
Y1 Y 0.0000 0.0000 0.0000 1
Y2 Y 0.0000 0.0000 0.2996 1
Y3 Y 0.3333 0.6667 0.5001 1
Ho1 Ho 0.3333 0.6667 0.7998 1
C1 C 0.6667 0.3333 0.3999 1
C2 C 0.6667 0.3333 0.8995 1
Se1 Se 0.0000 0.0000 0.6501 1
Se2 Se 0.3333 0.6667 0.1499 1
```

spin magnetization = 0.01 μB per cell
energy = -7.33 eV/atom

---

## RbTm2CuSe3S (GGA-PBE)

Data for an optimized crystal structure of RbTm2CuSe3S.

```
data_RbTm2CuSe3S
_chemical_formula_sum 'Rb4 Tm8 Cu4 Se12 S4'
_cell_length_a 4.0303
_cell_length_b 13.9907
_cell_length_c 14.3013
_cell_angle_alpha 90.00
_cell_angle_beta 90.00
_cell_angle_gamma 90.00
_symmetry_space_group_name_H-M 'C m c m'
_symmetry_Int_Tables_number 63
_symmetry_space_group_name_Hall '-C 2c 2'
loop_
_atom_site_label
_atom_site_type_symbol
_atom_site_fract_x
_atom_site_fract_y
_atom_site_fract_z
_atom_site_occupancy
Rb1 Rb 0.0000 0.1169 0.2500 1
Tm1 Tm 0.0000 0.3723 0.0625 1
Cu1 Cu 0.0000 0.1643 0.7500 1
Se1 Se 0.0000 0.2596 0.6058 1
Se2 Se 0.0000 0.4333 0.2500 1
S1 S 0.0000 0.0000 0.0000 1
```

spin magnetization = 0.00 μB per cell
energy = -5.02 eV/atom

---

## FeCu5B2 (GGA-PBE)

Data for an optimized crystal structure of FeCu5B2.

```
data_FeCu5B2
_chemical_formula_sum 'Fe1 Cu5 B2'
_cell_length_a 3.5869
_cell_length_b 3.5869
_cell_length_c 6.2627
_cell_angle_alpha 90.00
_cell_angle_beta 90.00
_cell_angle_gamma 90.00
_symmetry_space_group_name_H-M 'P 4/m m m'
_symmetry_Int_Tables_number 123
_symmetry_space_group_name_Hall '-P 4 2'
loop_
_atom_site_label
_atom_site_type_symbol
_atom_site_fract_x
_atom_site_fract_y
_atom_site_fract_z
_atom_site_occupancy
Fe1 Fe 0.0000 0.0000 0.0000 1
Cu1 Cu 0.0000 0.5000 0.2550 1
Cu2 Cu 0.5000 0.5000 0.5000 1
B1 B 0.0000 0.0000 0.5000 1
B2 B 0.5000 0.5000 0.0000 1
```

spin magnetization = 2.20 μB per cell
E above lowest polymorph = 4 meV per atom

---

## YAgSO (GGA-PBE)

Data for an optimized crystal structure of YAgSO.

```
data_YAgSO
_chemical_formula_sum 'Y2 Ag2 S2 O2'
_cell_length_a 4.1950
_cell_length_b 6.4789
_cell_length_c 6.3563
_cell_angle_alpha 90.00
_cell_angle_beta 90.00
_cell_angle_gamma 90.00
_symmetry_space_group_name_H-M 'P m c 21'
_symmetry_Int_Tables_number 26
loop_
_symmetry_equiv_pos_as_xyz
'x,y,z'
'-x,-y,z+1/2'
'-x,y,z'
'x,-y,z+1/2'
loop_
_atom_site_label
_atom_site_type_symbol
_atom_site_fract_x
_atom_site_fract_y
_atom_site_fract_z
_atom_site_occupancy
Y1 Y 0.0000 0.1678 0.0000 1
Ag1 Ag 0.5000 0.2749 0.5646 1
S1 S 0.5000 0.3470 0.1755 1
O1 O 0.0000 0.1130 0.6697 1
```

spin magnetization = 0.00 μB per cell
energy = -6.21 eV/atom

---

## LuBeGaPd (GGA-PBE)

Data for an optimized crystal structure of LuBeGaPd.

```
data_LuBeGaPd
_chemical_formula_sum 'Lu4 Be4 Ga4 Pd4'
_cell_length_a 6.4171
_cell_length_b 6.4171
_cell_length_c 6.4171
_cell_angle_alpha 90.00
_cell_angle_beta 90.00
_cell_angle_gamma 90.00
_symmetry_space_group_name_H-M 'F -4 3 m'
_symmetry_Int_Tables_number 216
_symmetry_space_group_name_Hall 'F -4 2 3'
loop_
_atom_site_label
_atom_site_type_symbol
_atom_site_fract_x
_atom_site_fract_y
_atom_site_fract_z
_atom_site_occupancy
Lu1 Lu 0.0000 0.0000 0.0000 1
Be1 Be 0.0000 0.0000 0.5000 1
Ga1 Ga 0.2500 0.2500 0.7500 1
Pd1 Pd 0.2500 0.2500 0.2500 1
```

spin magnetization = 0.00 μB per cell
E above lowest polymorph = 48 meV per atom

---

## HfTlAsO (GGA-PBE)

Data for an optimized crystal structure of HfTlAsO.

```
data_HfTlAsO
_chemical_formula_sum 'Hf2 Tl2 As2 O2'
_cell_length_a 4.4305
_cell_length_b 4.4305
_cell_length_c 8.0452
_cell_angle_alpha 90.00
_cell_angle_beta 90.00
_cell_angle_gamma 90.00
_symmetry_space_group_name_H-M 'P 4/n m m'
_symmetry_Int_Tables_number 129
loop_
_symmetry_equiv_pos_as_xyz
'x,y,z'
'-x,-y,-z'
'-y+1/2,x,z'
'y+1/2,-x,-z'
'-x+1/2,-y+1/2,z'
'x+1/2,y+1/2,-z'
'y,-x+1/2,z'
'-y,x+1/2,-z'
'x+1/2,-y,-z'
'-x+1/2,y,z'
'-y,-x,-z'
'y,x,z'
'-x,y+1/2,-z'
'x,-y+1/2,z'
'y+1/2,x+1/2,-z'
'-y+1/2,-x+1/2,z'
loop_
_atom_site_label
_atom_site_type_symbol
_atom_site_fract_x
_atom_site_fract_y
_atom_site_fract_z
_atom_site_occupancy
Hf1 Hf 0.2500 0.7500 0.0000 1
Tl1 Tl 0.2500 0.2500 0.3794 1
As1 As 0.2500 0.2500 0.8214 1
O1 O 0.2500 0.7500 0.5000 1
```

spin magnetization = 0.00 μB per cell
E above lowest polymorph = 862 meV per atom

---

## BeCd2W (GGA-PBE)

Data for an optimized crystal structure of BeCd2W.

```
data_BeCd2W
_chemical_formula_sum 'Be4 Cd8 W4'
_cell_length_a 6.4223
_cell_length_b 6.4223
_cell_length_c 6.4223
_cell_angle_alpha 90.00
_cell_angle_beta 90.00
_cell_angle_gamma 90.00
_symmetry_space_group_name_H-M 'F -4 3 m'
_symmetry_Int_Tables_number 216
_symmetry_space_group_name_Hall 'F -4 2 3'
loop_
_atom_site_label
_atom_site_type_symbol
_atom_site_fract_x
_atom_site_fract_y
_atom_site_fract_z
_atom_site_occupancy
Be1 Be 0.0000 0.0000 0.0000 1
Cd1 Cd 0.0000 0.0000 0.5000 1
Cd2 Cd 0.2500 0.2500 0.7500 1
W1 W 0.2500 0.2500 0.2500 1
```

spin magnetization = 7.10 μB per cell
energy = -3.73 eV/atom

---

## SiMo4PbN2 (GGA-PBE)

Data for an optimized crystal structure of SiMo4PbN2.

```
data_SiMo4PbN2
_chemical_formula_sum 'Si1 Mo4 Pb1 N2'
_cell_length_a 3.3014
_cell_length_b 3.3014
_cell_length_c 12.3126
_cell_angle_alpha 90.00
_cell_angle_beta 90.00
_cell_angle_gamma 120.00
_symmetry_space_group_name_H-M 'P -6 m 2'
_symmetry_Int_Tables_number 187
_symmetry_space_group_name_Hall 'P -6 2'
loop_
_atom_site_label
_atom_site_type_symbol
_atom_site_fract_x
_atom_site_fract_y
_atom_site_fract_z
_atom_site_occupancy
Si1 Si 0.0000 0.0000 0.0000 1
Mo1 Mo 0.0000 0.0000 0.3010 1
Mo2 Mo 0.6667 0.3333 0.1366 1
Pb1 Pb 0.6667 0.3333 0.5000 1
N1 N 0.3333 0.6667 0.2472 1
```

spin magnetization = 0.01 μB per cell
energy = -8.65 eV/atom